[1]
The following is a PBE-GGA calculation of crystalline CaP2OsO at its relaxed geometry, from Alexandria.

abc: 4.8886 4.8886 3.7600
angles: 90.00 90.00 90.00
Last column: nearest neighbours and their distance in Å.
Space group P4/mmm (No. 123)
Unique sites:
Ca 0.0000 0.0000 0.0000 x1  8 P 3.08
P 0.0000 0.5000 0.5000 x2  2 Os 2.44
Os 0.5000 0.5000 0.5000 x1  2 O 1.88
O 0.5000 0.5000 0.0000 x1  2 Os 1.88

- size of the total moment (μB per cell) = 0.83
- calculated density (g cm⁻³) = 5.70
- N(E_F) (states/eV/f.u.) = 5.16
- ΔE to the lowest computed polymorph (eV/atom) = 0.000
- energy relative to the elements, uncorrected (kJ/mol of atoms) = -35.3



[2]
The following is a PBE-GGA calculation of crystalline CaPOsO2 at its relaxed geometry, from Alexandria.

abc: 3.9942 3.9942 5.9421
angles: 90.00 90.00 90.00
Last column: nearest neighbours and their distance in Å.
Space group P4/mmm (No. 123)
Unique sites:
Ca 0.0000 0.0000 0.0000 x1  4 O 2.00
P 0.0000 0.0000 0.5000 x1  4 Os 2.82, 2 Ca 2.97
Os 0.5000 0.5000 0.5000 x1  4 P 2.82
O 0.0000 0.5000 0.0000 x2  2 Ca 2.00

- size of the total moment (μB per cell) = 4.59
- calculated density (g cm⁻³) = 5.14
- N(E_F) (states/eV/f.u.) = 4.47
- ΔE to the lowest computed polymorph (eV/atom) = 1.615
- energy relative to the elements, uncorrected (kJ/mol of atoms) = 72.7



[3]
The following is a PBE-GGA calculation of crystalline CaPaOsO6 at its relaxed geometry, from Alexandria.

abc: 5.5371 5.5371 9.9032
angles: 90.00 90.00 120.00
Last column: nearest neighbours and their distance in Å.
Space group P-31c (No. 163)
Unique sites:
Ca 0.0000 0.0000 0.0000 x2  6 O 2.42
Pa 0.3333 0.6667 0.2500 x2  6 O 2.19
Os 0.3333 0.6667 0.7500 x2  6 O 1.99
O 0.0270 0.3706 0.6401 x12  1 Os 1.99, 1 Pa 2.19

- size of the total moment (μB per cell) = 6.00
- calculated density (g cm⁻³) = 7.04
- energy relative to the elements, uncorrected (kJ/mol of atoms) = -235.8



[4]
The following is a PBE-GGA calculation of crystalline Ca2OsPbO6 at its relaxed geometry, from Alexandria.

abc: 5.7636 5.7636 15.5722
angles: 90.00 90.00 120.00
Last column: nearest neighbours and their distance in Å.
Space group R3 (No. 146, hexagonal axes)
Unique sites:
Ca 0.0000 0.0000 0.0000 x3  6 O 2.30-2.43
Ca 0.0000 0.0000 0.4865 x3  6 O 2.36-2.44
Os 0.0000 0.0000 0.6907 x3  6 O 1.91-2.02
Pb 0.0000 0.0000 0.2188 x3  3 O 2.33
O 0.0064 0.7350 0.6077 x9  1 Os 2.02
O 0.0116 0.2915 0.7528 x9  1 Os 1.91

- size of the total moment (μB per cell) = 6.02
- calculated density (g cm⁻³) = 6.38
- N(E_F) (states/eV/f.u.) = 4.58
- energy relative to the elements, uncorrected (kJ/mol of atoms) = -177.7



[5]
The following is a PBE-GGA calculation of crystalline Ca2OsPbO8 at its relaxed geometry, from Alexandria.

abc: 6.9283 7.3377 6.8765
angles: 90.00 90.00 90.00
Last column: nearest neighbours and their distance in Å.
Space group Cmmm (No. 65)
Unique sites:
Ca 0.0000 0.0000 0.2428 x4  6 O 2.30-2.39
Os 0.0000 0.5000 0.0000 x2  6 O 1.86-1.89
Pb 0.0000 0.5000 0.5000 x2  2 O 1.99
O 0.0000 0.3228 0.1992 x8  1 Os 1.89
O 0.2124 0.0000 0.5000 x4  1 Pb 1.99
O 0.2322 0.0000 0.0000 x4  1 Os 1.86

- size of the total moment (μB per cell) = 0.00
- calculated density (g cm⁻³) = 5.75
- N(E_F) (states/eV/f.u.) = 0.14
- energy relative to the elements, uncorrected (kJ/mol of atoms) = -151.7



[6]
The following is a PBE-GGA calculation of crystalline CaOsPbO6 at its relaxed geometry, from Alexandria.

abc: 5.6406 5.6406 4.9989
angles: 90.00 90.00 120.00
Last column: nearest neighbours and their distance in Å.
Space group P312 (No. 149)
Unique sites:
Ca 0.0000 0.0000 0.0000 x1  6 O 2.30
Os 0.3333 0.6667 0.0000 x1  6 O 1.88
Pb 0.6667 0.3333 0.5000 x1  6 O 2.54
O 0.0646 0.3885 0.2154 x6  1 Os 1.88

- size of the total moment (μB per cell) = 0.00
- calculated density (g cm⁻³) = 6.43
- N(E_F) (states/eV/f.u.) = 0.24
- energy relative to the elements, uncorrected (kJ/mol of atoms) = -139.0



[7]
The following is a PBE-GGA calculation of crystalline CaOs2PbO8 at its relaxed geometry, from Alexandria.

abc: 6.0151 6.0151 7.2192
angles: 90.00 90.00 120.00
Last column: nearest neighbours and their distance in Å.
Space group P-3m1 (No. 164)
Unique sites:
Ca 0.0000 0.0000 0.0000 x1  6 O 2.34
Os 0.3333 0.6667 0.2858 x2  4 O 1.79-1.82
Pb 0.0000 0.0000 0.5000 x1  6 O 2.65
O 0.1648 0.3296 0.2211 x6  1 Os 1.82
O 0.3333 0.6667 0.5332 x2  1 Os 1.79

- size of the total moment (μB per cell) = 3.98
- calculated density (g cm⁻³) = 5.55
- N(E_F) (states/eV/f.u.) = 1.91
- energy relative to the elements, uncorrected (kJ/mol of atoms) = -121.0



[8]
The following is a PBE-GGA calculation of crystalline Ca2OsPdO6 at its relaxed geometry, from Alexandria.

abc: 5.5464 5.5464 4.4554
angles: 90.00 90.00 90.00
Last column: nearest neighbours and their distance in Å.
Space group P4mm (No. 99)
Unique sites:
Ca 0.0000 0.5000 0.0000 x2  4 O 2.40
Os 0.0000 0.0000 0.5745 x1  5 O 1.83-1.91
Pd 0.5000 0.5000 0.6024 x1  6 O 2.12-2.33
O 0.0000 0.0000 0.1633 x1  1 Os 1.83
O 0.2336 0.2336 0.6915 x4  1 Os 1.91, 1 Pd 2.13
O 0.5000 0.5000 0.1257 x1  2 Pd 2.12-2.33

- size of the total moment (μB per cell) = 1.16
- calculated density (g cm⁻³) = 5.73
- N(E_F) (states/eV/f.u.) = 2.19
- energy relative to the elements, uncorrected (kJ/mol of atoms) = -145.7



[9]
The following is a PBE-GGA calculation of crystalline CaPmOsO6 at its relaxed geometry, from Alexandria.

abc: 5.6582 5.6582 9.4170
angles: 90.00 90.00 120.00
Last column: nearest neighbours and their distance in Å.
Space group P-31c (No. 163)
Unique sites:
Ca 0.0000 0.0000 0.0000 x2  6 O 2.41
Pm 0.3333 0.6667 0.2500 x2  6 O 2.34
Os 0.3333 0.6667 0.7500 x2  6 O 1.91
O 0.0565 0.3850 0.6358 x12  1 Os 1.91

- size of the total moment (μB per cell) = 2.08
- calculated density (g cm⁻³) = 5.99
- N(E_F) (states/eV/f.u.) = 4.50
- energy relative to the elements, uncorrected (kJ/mol of atoms) = -201.8



[10]
The following is a PBE-GGA calculation of crystalline Ca2PrOsO8 at its relaxed geometry, from Alexandria.

abc: 5.0741 7.0201 5.0813
angles: 90.00 92.04 90.00
Last column: nearest neighbours and their distance in Å.
Space group P2/m (No. 10)
Unique sites:
Ca 0.0000 0.2373 0.0000 x2  6 O 2.26-2.38
Pr 0.5000 0.5000 0.5000 x1  2 O 2.22
Os 0.5000 0.0000 0.5000 x1  6 O 1.86-1.88
O 0.1846 0.5000 0.1858 x2  1 Pr 2.22, 2 Ca 2.26
O 0.2358 0.0000 0.2372 x2  1 Os 1.86
O 0.3233 0.1946 0.6774 x4  1 Os 1.88

- size of the total moment (μB per cell) = 0.31
- calculated density (g cm⁻³) = 4.95
- N(E_F) (states/eV/f.u.) = 5.20
- energy relative to the elements, uncorrected (kJ/mol of atoms) = -191.9



[11]
The following is a PBE-GGA calculation of crystalline Ca2OsPtO8 at its relaxed geometry, from Alexandria.

abc: 5.0226 6.4503 5.0364
angles: 90.00 91.43 90.00
Last column: nearest neighbours and their distance in Å.
Space group P2/m (No. 10)
Unique sites:
Ca 0.0000 0.2493 0.0000 x2  6 O 2.27-2.37
Os 0.5000 0.5000 0.5000 x1  6 O 1.83-1.98
Pt 0.5000 0.0000 0.5000 x1  6 O 1.91-2.07
O 0.2284 0.0000 0.2270 x2  1 Pt 1.91
O 0.2402 0.5000 0.2394 x2  1 Os 1.83
O 0.3288 0.2593 0.6697 x4  1 Os 1.98, 1 Pt 2.07

- size of the total moment (μB per cell) = 1.55
- calculated density (g cm⁻³) = 6.04
- N(E_F) (states/eV/f.u.) = 3.93
- energy relative to the elements, uncorrected (kJ/mol of atoms) = -138.5



[12]
The following is a PBE-GGA calculation of crystalline RbCaOsO6 at its relaxed geometry, from Alexandria.

abc: 5.8429 10.2868 5.7580
angles: 90.00 90.84 90.00
Last column: nearest neighbours and their distance in Å.
Space group C2 (No. 5)
Unique sites:
Rb 0.0000 0.0000 0.0000 x2  6 O 2.95-3.08
Ca 0.0000 0.3181 0.5000 x2  6 O 2.29-2.35
Os 0.0000 0.6772 0.5000 x2  6 O 1.82-1.94
O 0.1039 0.5210 0.3448 x4  1 Os 1.94
O 0.1559 0.7792 0.2982 x4  1 Os 1.82
O 0.2451 0.1841 0.3065 x4  1 Os 1.85

- size of the total moment (μB per cell) = 2.07
- calculated density (g cm⁻³) = 3.95
- energy relative to the elements, uncorrected (kJ/mol of atoms) = -137.4



What did the second record say?
The following is a PBE-GGA calculation of crystalline CaPOsO2 at its relaxed geometry, from Alexandria.

abc: 3.9942 3.9942 5.9421
angles: 90.00 90.00 90.00
Last column: nearest neighbours and their distance in Å.
Space group P4/mmm (No. 123)
Unique sites:
Ca 0.0000 0.0000 0.0000 x1  4 O 2.00
P 0.0000 0.0000 0.5000 x1  4 Os 2.82, 2 Ca 2.97
Os 0.5000 0.5000 0.5000 x1  4 P 2.82
O 0.0000 0.5000 0.0000 x2  2 Ca 2.00

- size of the total moment (μB per cell) = 4.59
- calculated density (g cm⁻³) = 5.14
- N(E_F) (states/eV/f.u.) = 4.47
- ΔE to the lowest computed polymorph (eV/atom) = 1.615
- energy relative to the elements, uncorrected (kJ/mol of atoms) = 72.7



Q: Among the records above, which one has the lowest calculated density?
A: RbCaOsO6



Q: Which formula does entry 5 have?
A: Ca2OsPbO8